No. 1
The following is a PBE calculation of a relaxed structure of Rb2TlCd16, from Alexandria via LeMat-Bulk.

The structure belongs to space group R3m (No. 160, hexagonal axes); the cell edges are 10.6107, 10.6107 and 15.2983 Å and the angles 90.00°, 90.00° and 120.00°. The inequivalent atoms are Rb at (0.0000, 0.0000, 0.0000), Rb at (0.0000, 0.0000, 0.3179), Tl at (0.0000, 0.0000, 0.5567), Cd at (0.0000, 0.0000, 0.7595), Cd at (0.0084, 0.5042, 0.8087), Cd at (0.0358, 0.3686, 0.3251), Cd at (0.1698, 0.3396, 0.8411) and Cd at (0.1714, 0.3428, 0.4921).

The value obtained for the magnetic moment is 0.00 μB/f.u. For the calculated volume, the calculation gives 26.169 Å³ per atom. The value obtained for the calculated formation energy is -0.044 eV/atom.

---

No. 2
The following is a PBE calculation of a relaxed structure of Mg2ZnReTc, from Alexandria via LeMat-Bulk.

The structure belongs to space group P4/mmm (No. 123); the cell edges are 4.8308, 4.8308 and 4.7137 Å and the angles 90.00°, 90.00° and 90.00°. The inequivalent atoms are Mg at (0.0000, 0.5000, 0.0000), Zn at (0.0000, 0.0000, 0.5000), Re at (0.5000, 0.5000, 0.5000) and Tc at (0.0000, 0.0000, 0.0000).

The value obtained for the magnetic moment is 4.08 μB/f.u. For the calculated volume, the calculation gives 22.001 Å³ per atom. The value obtained for the calculated formation energy is 1.670 eV/atom.

---

No. 3
The following is a PBE calculation of a relaxed structure of BaSc3Ag, from Alexandria via LeMat-Bulk.

The structure belongs to space group Pm-3m (No. 221); the cell edges are 5.2849, 5.2849 and 5.2849 Å and the angles 90.00°, 90.00° and 90.00°. The inequivalent atoms are Ba at (0.0000, 0.0000, 0.0000), Sc at (0.0000, 0.0000, 0.5000) and Ag at (0.5000, 0.5000, 0.5000).

The value obtained for the magnetic moment is 0.00 μB/f.u. For the calculated volume, the calculation gives 29.522 Å³ per atom. The value obtained for the calculated formation energy is 1.265 eV/atom. Its distance to the lowest polymorph of the same formula is 1015 meV per atom.

---

No. 4
The following is a PBE calculation of a relaxed structure of NdErAl2Si, from Alexandria via LeMat-Bulk.

The structure belongs to space group Imm2 (No. 44); the cell edges are 4.3293, 4.3817 and 12.1141 Å and the angles 90.00°, 90.00° and 90.00°. The inequivalent atoms are Nd at (0.0000, 0.0000, 0.0000), Er at (0.0000, 0.5000, 0.7577), Al at (0.0000, 0.0000, 0.6048), Al at (0.0000, 0.5000, 0.2500) and Si at (0.0000, 0.0000, 0.4021).

Its raw formation energy is -0.452 eV per atom. The value obtained for the magnetic moment is 0.00 μB/f.u. For the calculated volume, the calculation gives 22.980 Å³ per atom.

---

No. 5
The following is a PBE calculation of a relaxed structure of Sm2Dy2YMg5, from Alexandria via LeMat-Bulk.

The structure belongs to space group P4/mbm (No. 127); the cell edges are 10.6123, 10.6123 and 5.0766 Å and the angles 90.00°, 90.00° and 90.00°. The inequivalent atoms are Sm at (0.1771, 0.3229, 0.0000), Dy at (0.1200, 0.6200, 0.0000), Y at (0.0000, 0.0000, 0.0000), Mg at (0.0000, 0.5000, 0.5000) and Mg at (0.0699, 0.8024, 0.5000).

The value obtained for the magnetic moment is 0.00 μB/f.u. For the calculated volume, the calculation gives 28.586 Å³ per atom. The value obtained for the calculated formation energy is 0.039 eV/atom.

---

No. 6
The following is a PBE calculation of a relaxed structure of SrTl3In2, from Alexandria via LeMat-Bulk.

The structure belongs to space group C2/m (No. 12); the cell edges are 17.4662, 5.4462 and 9.0071 Å and the angles 90.00°, 120.13° and 90.00°. The inequivalent atoms are Sr at (0.1178, 0.0000, 0.4879), Tl at (0.0700, 0.0000, 0.9130), Tl at (0.0943, 0.5000, 0.1981), Tl at (0.2474, 0.0000, 0.2918), In at (0.0599, 0.5000, 0.6934) and In at (0.2305, 0.5000, 0.0624).

The value obtained for the magnetic moment is 0.00 μB/f.u. For the calculated volume, the calculation gives 30.876 Å³ per atom. The value obtained for the calculated formation energy is -0.155 eV/atom. Its distance to the lowest polymorph of the same formula is 0 meV per atom.

---

No. 7
The following is a PBE calculation of a relaxed structure of SiNiPt2, from Alexandria via LeMat-Bulk.

The structure belongs to space group Amm2 (No. 38); the cell edges are 3.5947, 2.8016 and 11.1646 Å and the angles 90.00°, 90.00° and 90.00°. The inequivalent atoms are Si at (0.0000, 0.0000, 0.0000), Ni at (0.5000, 0.0000, 0.5753), Pt at (0.0000, 0.0000, 0.2101) and Pt at (0.5000, 0.0000, 0.8611).

Its raw formation energy is -0.434 eV per atom. The value obtained for the magnetic moment is 0.00 μB/f.u. For the calculated volume, the calculation gives 14.055 Å³ per atom.

---

No. 8
The following is a PBE calculation of a relaxed structure of SmLuCoRh, from Alexandria via LeMat-Bulk.

The structure belongs to space group F-43m (No. 216); the cell edges are 6.7802, 6.7802 and 6.7802 Å and the angles 90.00°, 90.00° and 90.00°. The inequivalent atoms are Sm at (0.0000, 0.0000, 0.0000), Lu at (0.0000, 0.0000, 0.5000), Co at (0.2500, 0.2500, 0.2500) and Rh at (0.2500, 0.2500, 0.7500).

The value obtained for the magnetic moment is 0.56 μB/f.u. For the calculated volume, the calculation gives 19.481 Å³ per atom. The value obtained for the calculated formation energy is -0.468 eV/atom.

---

No. 9
The following is a PBE calculation of a relaxed structure of Cs2InTcO6, from Alexandria via LeMat-Bulk.

The structure belongs to space group P-3m1 (No. 164); the cell edges are 6.6141, 6.6141 and 5.5260 Å and the angles 90.00°, 90.00° and 120.00°. The inequivalent atoms are Cs at (0.3333, 0.6667, 0.3127), In at (0.0000, 0.0000, 0.0000), Tc at (0.0000, 0.0000, 0.5000) and O at (0.1339, 0.2678, 0.7099).

Its raw formation energy is -1.326 eV per atom. The value obtained for the magnetic moment is 0.00 μB/f.u. For the calculated volume, the calculation gives 20.935 Å³ per atom.

---

No. 10
The following is a PBE calculation of a relaxed structure of AcPaIn2, from Alexandria via LeMat-Bulk.

The structure belongs to space group P4/mmm (No. 123); the cell edges are 3.5050, 3.5050 and 9.4542 Å and the angles 90.00°, 90.00° and 90.00°. The inequivalent atoms are Ac at (0.0000, 0.0000, 0.0000), Pa at (0.0000, 0.0000, 0.5000) and In at (0.5000, 0.5000, 0.2689).

The value obtained for the magnetic moment is 0.00 μB/f.u. For the calculated volume, the calculation gives 29.036 Å³ per atom. The value obtained for the calculated formation energy is -0.110 eV/atom.

---

No. 11
The following is a PBE calculation of a relaxed structure of Mg8CuRh2, from Alexandria via LeMat-Bulk.

The structure belongs to space group C2/m (No. 12); the cell edges are 14.4872, 4.4610 and 6.7360 Å and the angles 90.00°, 112.89° and 90.00°. The inequivalent atoms are Mg at (0.0325, 0.0000, 0.2379), Mg at (0.1175, 0.5000, 0.9462), Mg at (0.1665, 0.0000, 0.7287), Mg at (0.1725, 0.5000, 0.4187), Cu at (0.0000, 0.5000, 0.5000) and Rh at (0.2036, 0.0000, 0.1569).

The value obtained for the magnetic moment is 0.00 μB/f.u. For the calculated volume, the calculation gives 18.229 Å³ per atom. The value obtained for the calculated formation energy is -0.253 eV/atom.

---

No. 12
The following is a PBE calculation of a relaxed structure of NdPa2CdO8, from Alexandria via LeMat-Bulk.

The structure belongs to space group I-4m2 (No. 119); the cell edges are 5.5028, 5.5028 and 10.8158 Å and the angles 90.00°, 90.00° and 90.00°. The inequivalent atoms are Nd at (0.0000, 0.0000, 0.0000), Pa at (0.0000, 0.0000, 0.5000), Pa at (0.0000, 0.5000, 0.2500), Cd at (0.0000, 0.5000, 0.7500) and O at (0.2300, 0.2504, 0.3750).

Its raw formation energy is -2.963 eV per atom. The value obtained for the magnetic moment is 0.01 μB/f.u. For the calculated volume, the calculation gives 13.647 Å³ per atom.